The following is a DFT calculation (PBE) of a relaxed LaCePuPa crystal.

Output
space-group type: F-43m (216)
spin magnetization: 7.2 μB/f.u.
formation energy from the elements: 0.32 eV per atom

Unit cell a=5.3671 b=5.3671 c=5.3671 alpha=60.00 beta=60.00 gamma=60.00
Last column: nearest neighbours and their distance in Å.
Fractional positions:
Ce1 0.0000 0.0000 0.0000  4 La 3.29, 4 Pa 3.29
La1 0.7500 0.7500 0.7500  4 Ce 3.29, 4 Pu 3.29
Pa1 0.2500 0.2500 0.2500  4 Ce 3.29, 4 Pu 3.29
Pu1 0.5000 0.5000 0.5000  4 Pa 3.29, 4 La 3.29